A relaxed structure of In3AgBi, computed with GGA-PBE.

**ΔH_f (0 K)**: 110.4 kJ/mol of formula units
**Excess energy over the best structure of this formula in the dataset**: 0.1878 eV per atom
**Raw total energy**: -13.803 eV/cell
**Symmetry**: No. 221

a b c (Å): 5.359 5.359 5.359
angles (deg): 90.00 90.00 90.00
Fractional positions:
In 0.500 0.000 0.000
Ag 0.000 0.000 0.000
Bi 0.500 0.500 0.500
In 0.000 0.500 0.000
In 0.000 0.000 0.500